(1)
# KCa2Si

KCa2Si after structural relaxation (GGA-PBE, Alexandria via LeMat-Bulk).

```
data_KCa2Si
_cell_length_a 7.9167
_cell_length_b 7.9167
_cell_length_c 7.9167
_cell_angle_alpha 90.00
_cell_angle_beta 90.00
_cell_angle_gamma 90.00
_space_group_name_H-M_alt 'F -4 3 m'
_space_group_IT_number 216
_space_group_name_Hall 'F -4 2 3'
loop_
_atom_site_label
_atom_site_fract_x
_atom_site_fract_y
_atom_site_fract_z
K1 0.0000 0.0000 0.0000
Ca1 0.0000 0.0000 0.5000
Ca2 0.2500 0.2500 0.7500
Si1 0.2500 0.2500 0.2500
```

As for the formation energy from raw total energies: 5.0 kcal/mol of atoms. Its density of states at the Fermi level is 8.49 states/eV per cell. As for the crystal system: cubic. For the raw total energy, the calculation gives -2.42 eV/atom.

***

(2)
# KCa2Si

KCa2Si after structural relaxation (GGA-PBE, Alexandria via LeMat-Bulk).

```
data_KCa2Si
_cell_length_a 9.5689
_cell_length_b 9.5689
_cell_length_c 7.1768
_cell_angle_alpha 90.00
_cell_angle_beta 90.00
_cell_angle_gamma 90.00
_space_group_name_H-M_alt 'I -4 2 d'
_space_group_IT_number 122
_space_group_name_Hall 'I -4 2bw'
loop_
_atom_site_label
_atom_site_fract_x
_atom_site_fract_y
_atom_site_fract_z
K1 0.0000 0.0000 0.0000
Ca1 0.1417 0.2500 0.6250
Si1 0.0000 0.0000 0.5000
```

As for the formation energy from raw total energies: 2.0 kcal/mol of atoms. Its density of states at the Fermi level is 13.22 states/eV per cell. As for the crystal system: tetragonal. For the raw total energy, the calculation gives -2.54 eV/atom.

***

(3)
# KCa2Si

KCa2Si after structural relaxation (GGA-PBE, Alexandria via LeMat-Bulk).

```
data_KCa2Si
_cell_length_a 3.6807
_cell_length_b 3.6377
_cell_length_c 10.9368
_cell_angle_alpha 90.00
_cell_angle_beta 90.25
_cell_angle_gamma 90.00
_space_group_name_H-M_alt 'P 1 2/m 1'
_space_group_IT_number 10
loop_
_space_group_symop_operation_xyz
'x,y,z'
'-x,-y,-z'
'-x,y,-z'
'x,-y,z'
loop_
_atom_site_label
_atom_site_fract_x
_atom_site_fract_y
_atom_site_fract_z
K1 0.0000 0.0000 0.0000
Ca1 0.4973 0.5000 0.3434
Si1 0.0000 0.0000 0.5000
```

As for the formation energy from raw total energies: -2.1 kcal/mol of atoms. Its density of states at the Fermi level is 3.24 states/eV per cell. As for the crystal system: monoclinic. For the raw total energy, the calculation gives -2.72 eV/atom.

***

(4)
# KCaSi

KCaSi after structural relaxation (GGA-PBE, Alexandria via LeMat-Bulk).

```
data_KCaSi
_cell_length_a 3.8771
_cell_length_b 3.8771
_cell_length_c 8.4985
_cell_angle_alpha 90.00
_cell_angle_beta 90.00
_cell_angle_gamma 120.00
_space_group_name_H-M_alt 'P 3 m 1'
_space_group_IT_number 156
loop_
_space_group_symop_operation_xyz
'x,y,z'
'-y,x-y,z'
'-x+y,-x,z'
'-y,-x,z'
'-x+y,y,z'
'x,x-y,z'
loop_
_atom_site_label
_atom_site_fract_x
_atom_site_fract_y
_atom_site_fract_z
K1 0.0000 0.0000 0.0000
Ca1 0.3333 0.6667 0.5239
Si1 0.6667 0.3333 0.2924
```

As for the formation energy from raw total energies: 5.9 kcal/mol of atoms. Its density of states at the Fermi level is 1.72 states/eV per cell. As for the crystal system: trigonal. The value obtained for the energy above the most stable polymorph in this dataset is 257.6 meV per atom. For the raw total energy, the calculation gives -2.58 eV/atom.

***

Look up the formation energy from raw total energies of the fourth one. 5.9 kcal/mol of atoms

***

Which of these has the highest raw total energy? number 1